(1)
LaYEr4: optimized geometry, PBE.

Structure (POSCAR):
```
LaYEr4
1.0
3.3263 -5.9772 0.0000
3.3263 5.9772 0.0000
0.0000 0.0000 9.8685
La Y Er
2 2 8
Cartesian
3.3263 3.8384 7.4014
3.3263 -3.8384 2.4671
0.0000 0.0000 0.0000
0.0000 0.0000 4.9342
1.7223 1.2092 7.4014
3.3263 1.8348 0.6730
3.3263 1.8348 4.2613
1.7223 -1.2092 2.4671
4.9302 1.2092 7.4014
3.3263 -1.8348 5.6072
3.3263 -1.8348 9.1955
4.9302 -1.2092 2.4671
```

Properties
Raw total energy ... -4.69 eV/atom
SG ... Cmcm
Energy relative to the lowest polymorph listed for this composition ... 48 meV/atom
DFT formation energy ... 0.2529 eV per atom

***

(2)
Tb3Tl6Br14: optimized geometry, PBE.

Structure (POSCAR):
```
Tb3Tl6Br14
1.0
11.9857 0.0000 0.0000
-5.9928 10.3799 0.0000
0.0000 0.0000 7.3826
Tb Tl Br
3 6 14
Cartesian
0.0000 0.0000 0.0000
0.0000 6.9199 0.7013
5.9928 3.4600 4.6921
-0.3043 3.6037 4.8051
-2.7198 8.8416 4.8051
2.9157 2.4575 1.5418
3.0241 8.3145 4.8051
8.3996 1.2963 1.5418
6.6632 6.6261 1.5418
-0.3729 2.3182 1.6073
-2.2692 5.9650 7.0390
-3.7988 9.5437 1.6073
1.8907 1.3643 5.7465
0.0000 6.9199 3.3974
1.9616 5.4322 7.0390
0.3076 9.3626 7.0390
5.5339 1.0607 3.5924
4.1445 5.0570 3.5924
5.9928 3.4600 0.0007
4.1717 8.8979 1.6073
9.8588 0.9552 5.7465
8.3001 4.2621 3.5924
6.2290 8.0604 5.7465
```

Properties
Raw total energy ... -3.50 eV/atom
Energy relative to the elements, uncorrected ... -28.980 eV/f.u.
SG ... P3

***

(3)
TlAgN2O: optimized geometry, PBE.

Structure (POSCAR):
```
TlAgN2O
1.0
4.1731 0.0000 0.0000
0.0000 4.1731 0.0000
0.0000 0.0000 4.4009
Tl Ag N O
1 1 2 1
Cartesian
0.0000 0.0000 0.0000
2.0866 2.0866 2.2004
0.0000 2.0866 2.2004
2.0866 0.0000 2.2004
2.0866 2.0866 0.0000
```

Properties
Raw total energy ... -3.84 eV/atom
Energy relative to the elements, uncorrected ... 7.612 eV/f.u.
SG ... P4/mmm

***

(4)
PrY5Ag4: optimized geometry, PBE.

Structure (POSCAR):
```
PrY5Ag4
1.0
3.6333 0.0000 0.0000
0.0000 3.6333 0.0000
0.0000 0.0000 19.8992
Pr Y Ag
1 5 4
Cartesian
0.0000 0.0000 0.0000
1.8166 1.8166 2.6126
1.8166 1.8166 6.2629
1.8166 1.8166 9.9496
1.8166 1.8166 13.6364
1.8166 1.8166 17.2867
0.0000 0.0000 4.4262
0.0000 0.0000 8.1173
0.0000 0.0000 11.7819
0.0000 0.0000 15.4730
```

Properties
Raw total energy ... -5.11 eV/atom
SG ... P4/mmm
DFT formation energy ... -0.2580 eV per atom

***

(5)
TlCdSeN2: optimized geometry, PBE.

Structure (POSCAR):
```
TlCdSeN2
1.0
4.4203 0.0000 0.0000
0.0000 4.4203 0.0000
0.0000 0.0000 5.8058
Tl Cd Se N
1 1 1 2
Cartesian
0.0000 0.0000 0.0000
2.2102 2.2102 2.9029
2.2102 2.2102 0.0000
0.0000 2.2102 2.9029
2.2102 0.0000 2.9029
```

Properties
Raw total energy ... -3.25 eV/atom
Energy relative to the elements, uncorrected ... 7.177 eV/f.u.
SG ... P4/mmm
Energy relative to the lowest polymorph listed for this composition ... 0 meV/atom

***

(6)
BaYHfGa2: optimized geometry, PBE.

Structure (POSCAR):
```
BaYHfGa2
1.0
5.4645 0.0000 0.0000
0.0000 5.4645 0.0000
0.0000 0.0000 5.6866
Ba Y Hf Ga
1 1 1 2
Cartesian
0.0000 0.0000 0.0000
0.0000 0.0000 2.8433
2.7322 2.7322 2.8433
0.0000 2.7322 0.0000
2.7322 0.0000 0.0000
```

Properties
Raw total energy ... -3.36 eV/atom
SG ... P4/mmm
DFT formation energy ... 1.5173 eV per atom

***

no.,D(E_F) (states/eV/cell)
1,18.6
2,8.4
3,3.1
4,8.4
5,3.9
6,6.8